The following is a DFT calculation (PBE) of a relaxed structure of Ac3La5Bi8.

a = 9.546 Å, b = 9.546 Å, c = 9.547 Å
α = 60.00°, β = 60.00°, γ = 60.00°
Fractional positions:
Bi: 0.257 0.750 0.243
Bi: 0.254 0.254 0.239
Ac: 0.000 0.500 0.500
Bi: 0.743 0.250 0.757
Bi: 0.250 0.250 0.757
Bi: 0.750 0.750 0.243
La: 0.000 0.000 0.000
Ac: 0.000 0.000 0.500
Bi: 0.250 0.743 0.757
La: 0.500 0.500 0.500
La: 0.500 0.000 0.000
La: 0.500 0.500 0.000
Ac: 0.500 0.000 0.500
Bi: 0.746 0.746 0.761
Bi: 0.750 0.257 0.243
La: 0.000 0.500 0.000

Results
- E_form: -100 kJ/mol of atoms
- Crystal system: trigonal

The following is a DFT calculation (PBE) of a relaxed structure of Pm4ZnCo3.

a = 4.059 Å, b = 4.145 Å, c = 10.753 Å
α = 90.00°, β = 90.00°, γ = 90.00°
Site moments in Bohr magnetons follow the coordinates.
Fractional positions:
Co: 0.500 0.000 0.932  -0.07
Pm: 0.000 0.500 0.851  0.00
Co: 0.000 0.000 0.456  0.96
Co: 0.000 0.500 0.553  0.88
Zn: 0.500 0.500 0.062  0.01
Pm: 0.500 0.000 0.643  -0.10
Pm: 0.000 0.000 0.138  0.01
Pm: 0.500 0.500 0.365  -0.11

Results
- E_form: -12 kJ/mol of atoms
- Crystal system: orthorhombic

The following is a DFT calculation (PBE) of a relaxed structure of BeCdP2.

a = 4.384 Å, b = 4.384 Å, c = 3.552 Å
α = 90.00°, β = 90.00°, γ = 107.81°
Fractional positions:
Cd: 0.000 0.500 0.500
P: 0.000 0.000 0.000
Be: 0.500 0.000 0.500
P: 0.500 0.500 0.000

Results
- E_form: 58 kJ/mol of atoms
- Crystal system: orthorhombic

The following is a DFT calculation (PBE) of a relaxed structure of VSnHRh2.

a = 4.882 Å, b = 5.044 Å, c = 4.882 Å
α = 90.00°, β = 90.00°, γ = 90.00°
Site moments in Bohr magnetons follow the coordinates.
Fractional positions:
V: 0.000 0.500 0.000  0.48
Sn: 0.000 0.000 0.000  -0.03
Rh: 0.500 0.000 0.000  0.28
H: 0.500 0.500 0.500  0.05
Rh: 0.000 0.000 0.500  0.40

Results
- Crystal system: tetragonal
- Electronic total energy: -4.315 eV per atom

The following is a DFT calculation (PBE) of a relaxed structure of CePm3Zn8.

a = 5.538 Å, b = 5.538 Å, c = 9.586 Å
α = 73.21°, β = 73.21°, γ = 60.00°
Site moments in Bohr magnetons follow the coordinates.
Fractional positions:
Pm: 0.502 0.502 0.495  0.01
Zn: 0.187 0.187 0.438  0.00
Zn: 0.436 0.938 0.688  0.00
Zn: 0.938 0.938 0.688  0.00
Zn: 0.687 0.687 0.938  0.00
Pm: 0.375 0.375 0.874  -0.01
Pm: 0.998 0.998 0.005  0.00
Ce: 0.875 0.875 0.376  0.19
Zn: 0.437 0.938 0.187  0.00
Zn: 0.938 0.437 0.187  0.00
Zn: 0.437 0.437 0.187  0.00
Zn: 0.938 0.436 0.688  0.00

Results
- E_form: -30 kJ/mol of atoms
- Crystal system: trigonal

The following is a DFT calculation (PBE) of a relaxed structure of HgPb2Cl.

a = 5.811 Å, b = 3.608 Å, c = 6.002 Å
α = 71.20°, β = 90.00°, γ = 90.00°
Fractional positions:
Pb: 0.500 0.470 0.180
Cl: 0.000 0.275 0.590
Pb: 0.000 0.024 0.076
Hg: 0.500 0.732 0.653

Results
- ΔE_f (raw): -0.29 eV/atom
- Crystal system: monoclinic

The following is a DFT calculation (PBE) of a relaxed structure of Pm3Mg2Ge2.

a = 4.472 Å, b = 4.240 Å, c = 10.234 Å
α = 101.95°, β = 102.62°, γ = 90.00°
Fractional positions:
Pm: 0.683 0.183 0.365
Ge: 0.436 0.436 0.872
Pm: 0.000 0.000 0.000
Ge: 0.564 0.564 0.128
Mg: 0.862 0.362 0.723
Pm: 0.317 0.817 0.635
Mg: 0.138 0.638 0.277

Results
- E_form: -37 kJ/mol of atoms
- Crystal system: orthorhombic

The following is a DFT calculation (PBE) of a relaxed structure of CoSiRh2.

a = 2.749 Å, b = 3.581 Å, c = 5.285 Å
α = 90.00°, β = 90.00°, γ = 90.00°
Site moments in Bohr magnetons follow the coordinates.
Fractional positions:
Co: 0.500 0.500 0.760  1.54
Rh: 0.500 0.500 0.282  0.11
Rh: 0.000 0.000 0.962  0.56
Si: 0.000 0.000 0.496  -0.02

Results
- ΔE_f (raw): -0.26 eV/atom
- Crystal system: orthorhombic

The following is a DFT calculation (PBE) of a relaxed structure of RbZrBi2.

a = 7.055 Å, b = 7.055 Å, c = 10.062 Å
α = 69.48°, β = 69.48°, γ = 90.00°
Fractional positions:
Bi: 0.875 0.111 0.750
Rb: 0.500 0.500 0.000
Zr: 0.750 0.250 0.500
Zr: 0.000 0.000 0.000
Bi: 0.861 0.125 0.250
Rb: 0.250 0.750 0.500
Bi: 0.375 0.139 0.750
Bi: 0.889 0.625 0.250

Results
- E_form: 0 kJ/mol of atoms
- Crystal system: tetragonal

The following is a DFT calculation (PBE) of a relaxed structure of ZrSc2Mn.

a = 5.789 Å, b = 5.789 Å, c = 5.789 Å
α = 146.93°, β = 131.89°, γ = 59.62°
Fractional positions:
Mn: 0.250 0.750 0.500
Sc: 0.455 0.455 0.000
Zr: 0.750 0.250 0.500
Sc: 0.045 0.045 0.000

Results
- E_form: 5 kJ/mol of atoms
- Crystal system: orthorhombic

The following is a DFT calculation (PBE) of a relaxed structure of Ce2Tl4In.

a = 10.639 Å, b = 6.485 Å, c = 6.942 Å
α = 117.85°, β = 90.00°, γ = 90.00°
Site moments in Bohr magnetons follow the coordinates.
Fractional positions:
Tl: 0.250 0.999 0.500  0.01
Tl: 0.750 0.001 0.500  0.01
Ce: 0.000 0.388 0.775  0.88
Tl: 0.750 0.750 0.000  0.00
Tl: 0.750 0.250 0.000  0.00
In: 0.000 0.000 0.000  0.00
Ce: 0.000 0.612 0.225  0.88
Tl: 0.250 0.499 0.500  0.01
Ce: 0.500 0.888 0.775  0.88
Tl: 0.250 0.250 0.000  0.00
Ce: 0.500 0.112 0.225  0.88
Tl: 0.750 0.501 0.500  0.01
In: 0.500 0.500 0.000  0.00
Tl: 0.250 0.750 0.000  0.00

Results
- E_form: -1 kJ/mol of atoms
- Crystal system: orthorhombic

The following is a DFT calculation (PBE) of a relaxed structure of MoW3Br.

a = 4.819 Å, b = 4.819 Å, c = 4.819 Å
α = 90.00°, β = 90.00°, γ = 90.00°
Fractional positions:
W: 0.500 0.000 0.000
Br: 0.500 0.500 0.500
W: 0.000 0.500 0.000
Mo: 0.000 0.000 0.000
W: 0.000 0.000 0.500

Results
- ΔE_f (raw): 2.42 eV/atom
- Crystal system: cubic

The following is a DFT calculation (PBE) of a relaxed structure of CeSnGe.

a = 4.207 Å, b = 4.611 Å, c = 4.611 Å
α = 120.00°, β = 90.00°, γ = 90.00°
Site moments in Bohr magnetons follow the coordinates.
Fractional positions:
Ce: 0.317 0.667 0.333  0.75
Sn: 0.762 0.333 0.667  0.01
Ge: 0.921 0.000 0.000  0.01

Results
- E_form: -41 kJ/mol of atoms
- Crystal system: trigonal

The following is a DFT calculation (PBE) of a relaxed structure of RbSnGeAu3.

a = 7.320 Å, b = 7.414 Å, c = 7.474 Å
α = 60.27°, β = 87.31°, γ = 84.57°
Fractional positions:
Au: 0.001 0.738 0.056
Au: 0.499 0.205 0.056
Au: 0.501 0.795 0.944
Au: 0.250 0.762 0.476
Ge: 0.250 0.956 0.089
Ge: 0.750 0.044 0.911
Au: 0.750 0.238 0.524
Sn: 0.750 0.447 0.106
Rb: 0.750 0.749 0.501
Au: 0.999 0.262 0.944
Rb: 0.250 0.251 0.499
Sn: 0.250 0.553 0.894

Results
- E_form: -19 kJ/mol of atoms
- Crystal system: monoclinic

The following is a DFT calculation (PBE) of a relaxed structure of Y2Zr.

a = 5.409 Å, b = 5.409 Å, c = 3.338 Å
α = 90.00°, β = 90.00°, γ = 120.00°
Fractional positions:
Zr: 0.000 0.000 0.500
Y: 0.667 0.333 0.000
Y: 0.333 0.667 0.000

Results
- E_form: 16 kJ/mol of atoms
- Crystal system: hexagonal

The following is a DFT calculation (PBE) of a relaxed structure of TbAgPdRh.

a = 4.696 Å, b = 4.696 Å, c = 4.696 Å
α = 60.00°, β = 60.00°, γ = 60.00°
Fractional positions:
Ag: 0.250 0.250 0.250
Rh: 0.000 0.000 0.000
Pd: 0.500 0.500 0.500
Tb: 0.750 0.750 0.750

Results
- E_form: -49 kJ/mol of atoms
- Crystal system: cubic

The following is a DFT calculation (PBE) of a relaxed structure of Ba4Ag2Cl.

a = 6.253 Å, b = 6.253 Å, c = 9.145 Å
α = 109.99°, β = 109.99°, γ = 90.00°
Fractional positions:
Ba: 0.793 0.793 0.586
Ba: 0.000 0.500 0.000
Ba: 0.207 0.207 0.414
Ba: 0.500 0.000 0.000
Cl: 0.000 0.000 0.000
Ag: 0.409 0.409 0.818
Ag: 0.591 0.591 0.182

Results
- ΔE_f (raw): -0.56 eV/atom
- Crystal system: tetragonal

The following is a DFT calculation (PBE) of a relaxed structure of TbEr3Ru2.

a = 4.305 Å, b = 7.461 Å, c = 8.791 Å
α = 90.00°, β = 90.00°, γ = 90.00°
Fractional positions:
Tb: 0.500 0.020 0.417
Er: 0.500 0.148 0.820
Ru: 0.000 0.745 0.364
Er: 0.500 0.648 0.180
Er: 0.000 0.980 0.083
Tb: 0.500 0.520 0.583
Ru: 0.500 0.255 0.134
Ru: 0.000 0.245 0.636
Ru: 0.500 0.755 0.866
Er: 0.000 0.353 0.317
Er: 0.000 0.853 0.683
Er: 0.000 0.480 0.917

Results
- E_form: -36 kJ/mol of atoms
- Crystal system: orthorhombic

The following is a DFT calculation (PBE) of a relaxed structure of ZrZnBr2.

a = 3.349 Å, b = 3.348 Å, c = 9.626 Å
α = 90.00°, β = 90.00°, γ = 90.00°
Site moments in Bohr magnetons follow the coordinates.
Fractional positions:
Zr: 0.500 0.500 0.750  0.23
Zn: 0.500 0.500 0.250  0.00
Br: 0.000 0.000 0.578  0.00
Br: 0.000 0.000 0.922  0.00

Results
- ΔE_f (raw): -0.55 eV/atom
- Crystal system: tetragonal

The following is a DFT calculation (PBE) of a relaxed structure of Li3TiZn.

a = 4.524 Å, b = 4.524 Å, c = 4.524 Å
α = 90.00°, β = 90.00°, γ = 90.00°
Fractional positions:
Zn: 0.000 0.000 0.000
Li: 0.000 0.500 0.000
Li: 0.500 0.000 0.000
Ti: 0.500 0.500 0.500
Li: 0.000 0.000 0.500

Results
- E_form: 58 kJ/mol of atoms
- Crystal system: cubic